Entry 1:
Material: Tm6HgTe3As2
Method: DFT, PBE-GGA
State: relaxed

abc: 18.517 4.133 8.629
angles: 90.00 103.90 90.00
Space group C2/m (No. 12)
Asymmetric unit:
Tm: 0.008 0.000 0.244 (multiplicity 4)
Tm: 0.164 0.500 0.105 (multiplicity 4)
Tm: 0.175 0.500 0.567 (multiplicity 4)
Hg: 0.000 0.500 0.000 (multiplicity 2)
Te: 0.000 0.500 0.500 (multiplicity 2)
Te: 0.167 0.000 0.832 (multiplicity 4)
As: 0.168 0.000 0.338 (multiplicity 4)

Formation energy without anion corrections ... -1205 meV/atom


Entry 2:
Material: BaCaTcAg2
Method: DFT, PBE-GGA
State: relaxed

abc: 5.819 5.819 5.227
angles: 90.00 90.00 90.00
Space group P4/mmm (No. 123)
Asymmetric unit:
Ba: 0.000 0.000 0.000 (multiplicity 1)
Ca: 0.500 0.500 0.500 (multiplicity 1)
Tc: 0.000 0.000 0.500 (multiplicity 1)
Ag: 0.000 0.500 0.000 (multiplicity 2)

Energy relative to the elements ... 6.321 eV per formula unit


Entry 3:
Material: RbAg2Pd
Method: DFT, PBE-GGA
State: relaxed

abc: 7.228 7.228 7.228
angles: 90.00 90.00 90.00
Space group Fm-3m (No. 225)
Asymmetric unit:
Rb: 0.000 0.000 0.000 (multiplicity 4)
Ag: 0.250 0.250 0.250 (multiplicity 8)
Pd: 0.000 0.000 0.500 (multiplicity 4)

Energy above the most stable polymorph in this dataset ... 412 meV per atom
Energy relative to the elements ... 1.678 eV per formula unit


Entry 4:
Material: Ac2PuTe2O2
Method: DFT, PBE-GGA
State: relaxed

abc: 4.564 4.564 17.246
angles: 90.00 90.00 90.00
Space group I4/mmm (No. 139)
Asymmetric unit:
Ac: 0.000 0.000 0.116 (multiplicity 4)
Pu: 0.000 0.000 0.500 (multiplicity 2)
Te: 0.000 0.000 0.318 (multiplicity 4)
O: 0.000 0.500 0.000 (multiplicity 4)

Formation energy without anion corrections ... -2111 meV/atom


Entry 5:
Material: RbPmMnN3
Method: DFT, PBE-GGA
State: relaxed

abc: 13.495 3.727 8.174
angles: 90.00 104.60 90.00
Space group C2/m (No. 12)
Asymmetric unit:
Rb: 0.136 0.000 0.075 (multiplicity 4)
Pm: 0.160 0.000 0.580 (multiplicity 4)
Mn: 0.005 0.500 0.342 (multiplicity 4)
N: 0.013 0.000 0.343 (multiplicity 4)
N: 0.121 0.500 0.776 (multiplicity 4)
N: 0.155 0.500 0.378 (multiplicity 4)

Formation energy without anion corrections ... -326 meV/atom


What did the second record say?
Material: BaCaTcAg2
Method: DFT, PBE-GGA
State: relaxed

abc: 5.819 5.819 5.227
angles: 90.00 90.00 90.00
Space group P4/mmm (No. 123)
Asymmetric unit:
Ba: 0.000 0.000 0.000 (multiplicity 1)
Ca: 0.500 0.500 0.500 (multiplicity 1)
Tc: 0.000 0.000 0.500 (multiplicity 1)
Ag: 0.000 0.500 0.000 (multiplicity 2)

Energy relative to the elements ... 6.321 eV per formula unit